[1]
A plane-wave DFT calculation with GGA-PBE was carried out for a geometry-optimized RbSrN2 structure.

Lattice parameters (Å, degrees): 7.965 7.965 7.965 29.97 29.97 29.97
Last column: magnetic moment on the atom in μB.
Positions (direct):
1 Sr 0.500 0.500 0.500  0.02
2 Rb 0.000 0.000 0.000  0.03
3 N 0.882 0.882 0.882  0.99
4 N 0.118 0.118 0.118  0.99

Results
* raw formation energy: 0.83 eV/atom
* symmetry: R-3m, No. 166

[2]
A plane-wave DFT calculation with GGA-PBE was carried out for a geometry-optimized YEr2Tm structure.

Lattice parameters (Å, degrees): 3.518 3.518 9.959 90.00 90.00 90.00
Positions (direct):
1 Tm 0.500 0.500 0.000
2 Y 0.500 0.500 0.500
3 Er 0.000 0.000 0.247
4 Er 0.000 0.000 0.753

Results
* calculated formation energy: 0.026 eV/atom
* symmetry: P4/mmm, No. 123

Fermi-level density of states across the listed records, respectively: 3.13 5.23 states/eV/f.u..
Excess energy over the best structure of this formula in the dataset across the listed records, respectively: 0.017 0.017 eV per atom.
Total energy across the listed records, respectively: -16.0 -20.0 eV for the cell shown.